[1]
DFT (GGA-PBE) results for a geometry-optimized AcMg8Zn4 structure.

```
AcMg8Zn4
1.0
-4.928 4.928 2.854
4.928 -4.928 2.854
4.928 4.928 -2.854
Ac Mg Zn
1 8 4
direct
0.000 0.000 0.000 Ac
0.000 0.350 0.350 Mg
0.000 0.650 0.650 Mg
0.281 0.500 0.781 Mg
0.350 0.000 0.350 Mg
0.500 0.281 0.781 Mg
0.500 0.719 0.219 Mg
0.650 0.000 0.650 Mg
0.719 0.500 0.219 Mg
0.000 0.000 0.500 Zn
0.000 0.500 0.000 Zn
0.500 0.000 0.000 Zn
0.500 0.500 0.500 Zn
```

Summary:
Its volume is 21.323 Å³/atom. The value obtained for the energy of formation from the pure elements is -143 meV/atom. The value obtained for the total energy is -1.8321 eV per atom. The value obtained for the density of states at the Fermi level is 6.08 states/eV/cell.

[2]
DFT (GGA-PBE) results for a geometry-optimized BaMgTl2 structure.

```
BaMgTl2
1.0
8.692 0.000 0.000
0.000 5.018 0.000
-2.888 0.000 6.335
Ba Mg Tl
2 2 4
direct
0.000 0.000 0.000 Ba
0.500 0.500 0.000 Ba
0.307 0.500 0.421 Mg
0.807 0.000 0.421 Mg
0.217 0.000 0.652 Tl
0.455 0.000 0.366 Tl
0.717 0.500 0.652 Tl
0.955 0.500 0.366 Tl
```

Summary:
Its volume is 34.535 Å³/atom. The value obtained for the energy of formation from the pure elements is -227 meV/atom. The value obtained for the total energy is -2.2892 eV per atom. The value obtained for the density of states at the Fermi level is 4.42 states/eV/cell.

[3]
DFT (GGA-PBE) results for a geometry-optimized Ce2Nd3Ir4 structure.

```
Ce2Nd3Ir4
1.0
8.063 -2.227 0.000
8.063 2.227 0.000
-1.171 0.000 6.094
Ce Nd Ir
2 3 4
direct
0.171 0.171 0.091 Ce
0.829 0.829 0.909 Ce
0.381 0.381 0.446 Nd
0.500 0.500 0.000 Nd
0.619 0.619 0.554 Nd
0.002 0.002 0.713 Ir
0.243 0.243 0.698 Ir
0.757 0.757 0.302 Ir
0.998 0.998 0.287 Ir
```

Summary:
Its volume is 24.321 Å³/atom. The value obtained for the energy of formation from the pure elements is -574 meV/atom. The value obtained for the total energy is -7.4206 eV per atom. The value obtained for the density of states at the Fermi level is 11.30 states/eV/cell.